[1]
The following is a DFT calculation (PBE) of a relaxed NbCrTc2N crystal.

The space group is P4/mmm (No. 123) and the conventional cell measures 4.101, 4.101 and 3.899 Å, with angles of 90.00, 90.00 and 90.00 degrees. Symmetry generates all atoms from Nb at (0.000, 0.000, 0.000), Cr at (0.500, 0.500, 0.000), Tc at (0.000, 0.500, 0.500) and N at (0.500, 0.500, 0.500).

The calculation puts the formation energy from raw total energies at -0.177 eV per atom. The electronic total energy comes out at -49.633 eV/cell.

[2]
The following is a DFT calculation (PBE) of a relaxed NbCrTeN2 crystal.

The space group is P4/mmm (No. 123) and the conventional cell measures 3.861, 3.861 and 5.418 Å, with angles of 90.00, 90.00 and 90.00 degrees. Symmetry generates all atoms from Nb at (0.000, 0.000, 0.000), Cr at (0.500, 0.500, 0.500), Te at (0.500, 0.500, 0.000) and N at (0.000, 0.500, 0.500).

As for the relative energy among the computed polymorphs: 374 meV per atom. The calculation puts the formation energy from raw total energies at 0.833 eV per atom. The electronic total energy comes out at -35.319 eV/cell.

[3]
The following is a DFT calculation (PBE) of a relaxed NbCrTe2N crystal.

The space group is P4/mmm (No. 123) and the conventional cell measures 5.321, 5.321 and 3.533 Å, with angles of 90.00, 90.00 and 90.00 degrees. Symmetry generates all atoms from Nb at (0.000, 0.000, 0.000), Cr at (0.500, 0.500, 0.500), Te at (0.000, 0.500, 0.500) and N at (0.500, 0.500, 0.000).

As for the relative energy among the computed polymorphs: 0 meV per atom. The calculation puts the formation energy from raw total energies at 0.346 eV per atom. The electronic total energy comes out at -32.571 eV/cell.

[4]
The following is a DFT calculation (PBE) of a relaxed NbCrTeN2 crystal.

The space group is P4/mmm (No. 123) and the conventional cell measures 4.023, 4.023 and 5.971 Å, with angles of 90.00, 90.00 and 90.00 degrees. Symmetry generates all atoms from Nb at (0.000, 0.000, 0.000), Cr at (0.500, 0.500, 0.500), Te at (0.000, 0.000, 0.500) and N at (0.000, 0.500, 0.000).

As for the relative energy among the computed polymorphs: 0 meV per atom. The calculation puts the formation energy from raw total energies at 0.460 eV per atom. The electronic total energy comes out at -37.187 eV/cell.

[5]
The following is a DFT calculation (PBE) of a relaxed NbCrTe2N crystal.

The space group is P4/mmm (No. 123) and the conventional cell measures 5.538, 5.538 and 3.874 Å, with angles of 90.00, 90.00 and 90.00 degrees. Symmetry generates all atoms from Nb at (0.000, 0.000, 0.000), Cr at (0.500, 0.500, 0.500), Te at (0.000, 0.500, 0.000) and N at (0.000, 0.000, 0.500).

As for the relative energy among the computed polymorphs: 426 meV per atom. The calculation puts the formation energy from raw total energies at 0.772 eV per atom. The electronic total energy comes out at -30.441 eV/cell.

[6]
The following is a DFT calculation (PBE) of a relaxed Th2NbCr2N6 crystal.

The space group is R-3m (No. 166, hexagonal axes) and the conventional cell measures 5.3746, 5.3746 and 17.4837 Å, with angles of 90.00, 90.00 and 120.00 degrees. Symmetry generates all atoms from Th at (0.0000, 0.0000, 0.2145), Nb at (0.0000, 0.0000, 0.0000), Cr at (0.0000, 0.0000, 0.3928) and N at (0.0126, 0.5063, 0.7623).

The calculation puts the formation energy from raw total energies at -0.766 eV per atom. The electronic total energy comes out at -307.612 eV/cell.

[7]
The following is a DFT calculation (PBE) of a relaxed Nb2CrWN crystal.

The space group is P4/mmm (No. 123) and the conventional cell measures 4.432, 4.432 and 3.624 Å, with angles of 90.00, 90.00 and 90.00 degrees. Symmetry generates all atoms from Nb at (0.000, 0.500, 0.000), Cr at (0.000, 0.000, 0.500), W at (0.500, 0.500, 0.500) and N at (0.000, 0.000, 0.000).

The calculation puts the formation energy from raw total energies at -0.288 eV per atom. The electronic total energy comes out at -52.483 eV/cell.

[8]
The following is a DFT calculation (PBE) of a relaxed Nb2ZnCrN crystal.

The space group is P4/mmm (No. 123) and the conventional cell measures 4.317, 4.317 and 3.734 Å, with angles of 90.00, 90.00 and 90.00 degrees. Symmetry generates all atoms from Nb at (0.000, 0.500, 0.000), Zn at (0.000, 0.000, 0.500), Cr at (0.500, 0.500, 0.500) and N at (0.500, 0.500, 0.000).

The calculation puts the formation energy from raw total energies at -0.367 eV per atom. The electronic total energy comes out at -41.197 eV/cell.

[9]
The following is a DFT calculation (PBE) of a relaxed Nd2CrN4 crystal.

The space group is Pnma (No. 62) and the conventional cell measures 7.201, 5.487 and 9.968 Å, with angles of 90.00, 90.00 and 90.00 degrees. Symmetry generates all atoms from Nd at (0.017, 0.250, 0.189), Nd at (0.152, 0.750, 0.428), Cr at (0.225, 0.750, 0.074), N at (0.015, 0.250, 0.914), N at (0.176, 0.506, 0.644) and N at (0.205, 0.250, 0.406).

As for the relative energy among the computed polymorphs: 0 meV per atom. The calculation puts the formation energy from raw total energies at -1.084 eV per atom. The electronic total energy comes out at -240.207 eV/cell.

[10]
The following is a DFT calculation (PBE) of a relaxed Nd2CrN4 crystal.

The space group is I4/mmm (No. 139) and the conventional cell measures 3.741, 3.741 and 12.764 Å, with angles of 90.00, 90.00 and 90.00 degrees. Symmetry generates all atoms from Nd at (0.000, 0.000, 0.146), Cr at (0.000, 0.000, 0.500), N at (0.000, 0.000, 0.336) and N at (0.000, 0.500, 0.000).

As for the relative energy among the computed polymorphs: 241 meV per atom. The calculation puts the formation energy from raw total energies at -0.844 eV per atom. The electronic total energy comes out at -116.732 eV/cell.

[11]
The following is a DFT calculation (PBE) of a relaxed Nd3Cr5N12 crystal.

The space group is Ia-3d (No. 230) and the conventional cell measures 12.495, 12.495 and 12.495 Å, with angles of 90.00, 90.00 and 90.00 degrees. Symmetry generates all atoms from Nd at (0.000, 0.250, 0.125), Cr at (0.000, 0.000, 0.000), Cr at (0.000, 0.250, 0.375) and N at (0.038, 0.043, 0.648).

The calculation puts the formation energy from raw total energies at -0.596 eV per atom. The electronic total energy comes out at -1394.007 eV/cell.

[12]
The following is a DFT calculation (PBE) of a relaxed Nd2CrN4 crystal.

The space group is P2_1/m (No. 11) and the conventional cell measures 5.660, 5.491 and 7.016 Å, with angles of 90.00, 108.21 and 90.00 degrees. Symmetry generates all atoms from Nd at (0.209, 0.250, 0.035), Nd at (0.277, 0.250, 0.562), Cr at (0.233, 0.750, 0.795), N at (0.030, 0.504, 0.735), N at (0.392, 0.750, 0.049) and N at (0.438, 0.750, 0.652).

As for the relative energy among the computed polymorphs: 39 meV per atom. The calculation puts the formation energy from raw total energies at -1.045 eV per atom. The electronic total energy comes out at -119.556 eV/cell.

[13]
The following is a DFT calculation (PBE) of a relaxed NdCrN3 crystal.

The space group is Pm-3m (No. 221) and the conventional cell measures 3.816, 3.816 and 3.816 Å, with angles of 90.00, 90.00 and 90.00 degrees. Symmetry generates all atoms from Nd at (0.000, 0.000, 0.000), Cr at (0.500, 0.500, 0.500) and N at (0.000, 0.500, 0.500).

The calculation puts the formation energy from raw total energies at -0.543 eV per atom. The electronic total energy comes out at -42.084 eV/cell.

[14]
The following is a DFT calculation (PBE) of a relaxed Nd2CrN3 crystal.

The space group is Immm (No. 71) and the conventional cell measures 3.569, 3.776 and 12.694 Å, with angles of 90.00, 90.00 and 90.00 degrees. Symmetry generates all atoms from Nd at (0.000, 0.000, 0.147), Cr at (0.000, 0.000, 0.500), N at (0.000, 0.000, 0.343) and N at (0.000, 0.500, 0.500).

The calculation puts the formation energy from raw total energies at -1.066 eV per atom. The electronic total energy comes out at -101.062 eV/cell.

[15]
The following is a DFT calculation (PBE) of a relaxed NdCrN crystal.

The space group is P-6m2 (No. 187) and the conventional cell measures 3.2688, 3.2688 and 10.7256 Å, with angles of 90.00, 90.00 and 120.00 degrees. Symmetry generates all atoms from Nd at (0.0000, 0.0000, 0.1485), Cr at (0.3333, 0.6667, 0.4107), N at (0.0000, 0.0000, 0.5000) and N at (0.3333, 0.6667, 0.0000).

The calculation puts the formation energy from raw total energies at 0.112 eV per atom. The electronic total energy comes out at -44.760 eV/cell.

[16]
The following is a DFT calculation (PBE) of a relaxed NdCrN2 crystal.

The space group is R-3m (No. 166, hexagonal axes) and the conventional cell measures 3.3200, 3.3200 and 15.6791 Å, with angles of 90.00, 90.00 and 120.00 degrees. Symmetry generates all atoms from Nd at (0.0000, 0.0000, 0.0000), Cr at (0.0000, 0.0000, 0.5000) and N at (0.0000, 0.0000, 0.2330).

The calculation puts the formation energy from raw total energies at -0.719 eV per atom. The electronic total energy comes out at -101.757 eV/cell.

[17]
The following is a DFT calculation (PBE) of a relaxed NdCrN3 crystal.

The space group is C2/c (No. 15) and the conventional cell measures 10.300, 9.912 and 5.968 Å, with angles of 90.00, 107.14 and 90.00 degrees. Symmetry generates all atoms from Nd at (0.000, 0.095, 0.250), Nd at (0.000, 0.335, 0.750), Cr at (0.212, 0.412, 0.254), N at (0.117, 0.114, 0.662), N at (0.134, 0.270, 0.155) and N at (0.155, 0.476, 0.504).

The calculation puts the formation energy from raw total energies at -0.781 eV per atom. The electronic total energy comes out at -346.163 eV/cell.

[18]
The following is a DFT calculation (PBE) of a relaxed Nd2NpCrN5 crystal.

The space group is Cmc2_1 (No. 36) and the conventional cell measures 3.469, 13.606 and 10.428 Å, with angles of 90.00, 90.00 and 90.00 degrees. Symmetry generates all atoms from Nd at (0.000, 0.107, 0.000), Nd at (0.000, 0.139, 0.629), Np at (0.000, 0.202, 0.329), Cr at (0.000, 0.482, 0.771), N at (0.000, 0.036, 0.338), N at (0.000, 0.286, 0.963), N at (0.000, 0.320, 0.703), N at (0.000, 0.367, 0.317) and N at (0.000, 0.491, 0.106).

The calculation puts the formation energy from raw total energies at -1.059 eV per atom. The electronic total energy comes out at -333.018 eV/cell.

[19]
The following is a DFT calculation (PBE) of a relaxed NdNp2CrN4 crystal.

The space group is Cmcm (No. 63) and the conventional cell measures 3.378, 11.534 and 11.396 Å, with angles of 90.00, 90.00 and 90.00 degrees. Symmetry generates all atoms from Nd at (0.000, 0.102, 0.250), Np at (0.000, 0.368, 0.051), Cr at (0.000, 0.161, 0.750), N at (0.000, 0.000, 0.000), N at (0.000, 0.266, 0.619) and N at (0.000, 0.437, 0.250).

The calculation puts the formation energy from raw total energies at -1.019 eV per atom. The electronic total energy comes out at -326.904 eV/cell.